(1)
DFT (meta-GGA SCAN) results for CoNiAg2 at its PBEsol-relaxed geometry.

a b c (Å): 4.6297 4.6297 4.6685
angles (deg): 99.37 99.37 33.53
Fractional coordinates of all 4 atoms:
Co  0.0000  0.0000  0.0000
Ni  0.5000  0.5000  0.5000
Ag  0.2495  0.2495  0.7495
Ag  0.7505  0.7505  0.2505

Energy relative to the elements   346 meV/atom
E above lowest polymorph   38 meV/atom
DFT total energy   -94.83 eV per cell

(2)
DFT (meta-GGA SCAN) results for Co2NiAg at its PBEsol-relaxed geometry.

a b c (Å): 4.4478 4.4478 4.4541
angles (deg): 100.39 100.39 33.68
Fractional coordinates of all 4 atoms:
Co  0.2418  0.2418  0.2243
Co  0.7582  0.7582  0.7757
Ni  0.5000  0.5000  0.0000
Ag  0.0000  0.0000  0.5000

Energy relative to the elements   321 meV/atom
E above lowest polymorph   104 meV/atom
DFT total energy   -80.86 eV per cell

(3)
DFT (meta-GGA SCAN) results for CoNiAg2 at its PBEsol-relaxed geometry.

a b c (Å): 4.6358 4.6358 4.6358
angles (deg): 131.88 131.88 70.42
Fractional coordinates of all 4 atoms:
Co  0.0000  0.0000  0.0000
Ni  0.7500  0.2500  0.5000
Ag  0.2500  0.7500  0.5000
Ag  0.5000  0.5000  0.0000

Energy relative to the elements   393 meV/atom
E above lowest polymorph   84 meV/atom
DFT total energy   -94.64 eV per cell

(4)
DFT (meta-GGA SCAN) results for Co2NiAg at its PBEsol-relaxed geometry.

a b c (Å): 4.2636 4.2636 2.6741
angles (deg): 90.00 90.00 90.00
Fractional coordinates of all 4 atoms:
Co  0.0000  0.5000  0.0000
Co  0.5000  0.0000  0.0000
Ni  0.0000  0.0000  0.5000
Ag  0.5000  0.5000  0.5000

Energy relative to the elements   466 meV/atom
E above lowest polymorph   248 meV/atom
DFT total energy   -80.29 eV per cell

(5)
DFT (meta-GGA SCAN) results for Co2NiAg at its PBEsol-relaxed geometry.

a b c (Å): 2.5927 2.5927 7.1119
angles (deg): 90.00 90.00 90.00
Fractional coordinates of all 4 atoms:
Co  0.0000  0.0000  0.0000
Co  0.5000  0.5000  0.2140
Ni  0.0000  0.0000  0.4390
Ag  0.5000  0.5000  0.7166

Energy relative to the elements   217 meV/atom
E above lowest polymorph   0 meV/atom
DFT total energy   -81.28 eV per cell

(6)
DFT (meta-GGA SCAN) results for CoNiAg2Sb at its PBEsol-relaxed geometry.

a b c (Å): 4.7023 4.7023 4.5220
angles (deg): 90.00 90.00 90.00
Fractional coordinates of all 5 atoms:
Co  0.0000  0.0000  0.0000
Ni  0.5000  0.5000  0.5000
Ag  0.0000  0.5000  0.5000
Ag  0.5000  0.0000  0.5000
Sb  0.5000  0.5000  0.0000

Energy relative to the elements, uncorrected   0.829 eV per atom
DFT total energy   -129.32 eV per cell

(7)
DFT (meta-GGA SCAN) results for CoAgO2 at its PBEsol-relaxed geometry.

a b c (Å): 2.8427 2.8427 24.4450
angles (deg): 90.00 90.00 120.00
Fractional coordinates of all 16 atoms:
Co  0.3333  0.6667  0.1250
Co  0.3333  0.6667  0.3750
Co  0.6667  0.3333  0.6250
Co  0.6667  0.3333  0.8750
Ag  0.0000  0.0000  0.0000
Ag  0.0000  0.0000  0.5000
Ag  0.3333  0.6667  0.7500
Ag  0.6667  0.3333  0.2500
O  0.0000  0.0000  0.0863
O  0.0000  0.0000  0.4137
O  0.0000  0.0000  0.5863
O  0.0000  0.0000  0.9137
O  0.3333  0.6667  0.6637
O  0.3333  0.6667  0.8363
O  0.6667  0.3333  0.1637
O  0.6667  0.3333  0.3363

Energy relative to the elements, uncorrected   -1.108 eV per atom
DFT total energy   -262.26 eV per cell

(8)
DFT (meta-GGA SCAN) results for CoAgP2O at its PBEsol-relaxed geometry.

a b c (Å): 4.7376 4.7376 3.7847
angles (deg): 90.00 90.00 90.00
Fractional coordinates of all 5 atoms:
Co  0.0000  0.0000  0.0000
Ag  0.5000  0.5000  0.5000
P  0.0000  0.5000  0.5000
P  0.5000  0.0000  0.5000
O  0.5000  0.5000  0.0000

Energy relative to the elements, uncorrected   1.164 eV per atom
DFT total energy   -69.88 eV per cell

(9)
DFT (meta-GGA SCAN) results for Co2Ag3SbO6 at its PBEsol-relaxed geometry.

a b c (Å): 5.1067 5.1067 19.5187
angles (deg): 90.00 90.00 120.00
Fractional coordinates of all 36 atoms:
Co  0.2200  0.1100  0.0000
Co  0.2233  0.4465  0.6667
Co  0.2233  0.7767  0.3333
Co  0.5535  0.7767  0.0000
Co  0.8900  0.1100  0.3333
Co  0.8900  0.7800  0.6667
Ag  0.2202  0.4404  0.1667
Ag  0.2202  0.7798  0.8333
Ag  0.2278  0.1139  0.5000
Ag  0.5543  0.1086  0.1667
Ag  0.5543  0.4457  0.8333
Ag  0.5596  0.7798  0.5000
Ag  0.8861  0.1139  0.8333
Ag  0.8861  0.7722  0.1667
Ag  0.8914  0.4457  0.5000
Sb  0.5566  0.1131  0.6667
Sb  0.5566  0.4434  0.3333
Sb  0.8869  0.4434  0.0000
O  0.2043  0.0918  0.3842
O  0.2043  0.1125  0.6158
O  0.2049  0.4433  0.2824
O  0.2049  0.7617  0.7176
O  0.2383  0.4433  0.0510
O  0.2383  0.7951  0.9490
O  0.5354  0.0912  0.0508
O  0.5354  0.4442  0.9492
O  0.5558  0.0912  0.2825
O  0.5558  0.4646  0.7175
O  0.5567  0.7617  0.6157
O  0.5567  0.7951  0.3843
O  0.8875  0.0918  0.9492
O  0.8875  0.7957  0.0508
O  0.9082  0.1125  0.7175
O  0.9082  0.7957  0.2825
O  0.9088  0.4442  0.3842
O  0.9088  0.4646  0.6158

Energy relative to the elements, uncorrected   -0.940 eV per atom
DFT total energy   -643.92 eV per cell

(10)
DFT (meta-GGA SCAN) results for CoAg2Os2 at its PBEsol-relaxed geometry.

a b c (Å): 7.0870 7.0870 7.0870
angles (deg): 151.77 151.77 40.35
Fractional coordinates of all 5 atoms:
Co  0.0000  0.0000  0.0000
Ag  0.2500  0.7500  0.5000
Ag  0.7500  0.2500  0.5000
Os  0.4127  0.4127  0.0000
Os  0.5873  0.5873  0.0000

Energy relative to the elements   1359 meV/atom
DFT total energy   -217.00 eV per cell

(11)
DFT (meta-GGA SCAN) results for CoAg2Os at its PBEsol-relaxed geometry.

a b c (Å): 5.4292 5.4292 5.4292
angles (deg): 151.55 130.62 57.98
Fractional coordinates of all 4 atoms:
Co  0.0000  0.0000  0.0000
Ag  0.2369  0.7369  0.5000
Ag  0.7631  0.2631  0.5000
Os  0.5000  0.5000  0.0000

Energy relative to the elements   613 meV/atom
E above lowest polymorph   221 meV/atom
DFT total energy   -149.46 eV per cell

(12)
DFT (meta-GGA SCAN) results for CoAg2Os at its PBEsol-relaxed geometry.

a b c (Å): 4.3474 4.3474 4.3474
angles (deg): 60.00 60.00 60.00
Fractional coordinates of all 4 atoms:
Co  0.0000  0.0000  0.0000
Ag  0.2500  0.2500  0.2500
Ag  0.5000  0.5000  0.5000
Os  0.7500  0.7500  0.7500

Energy relative to the elements   748 meV/atom
E above lowest polymorph   356 meV/atom
DFT total energy   -148.93 eV per cell

Q: Which of these has the highest DFT total energy?
A: CoAgP2O

Q: DFT total energy of number 8 (CoAgP2O)?
A: -69.88 eV per cell

Q: What is the DFT total energy in the seventh record?
A: -262.26 eV per cell